The following is a DFT calculation (PBE) of a relaxed NdZn12Ag6 crystal.

For the density of states at the Fermi level, the calculation gives 4.77 states/eV/cell. The space group is R-3m, No. 166. Its energy of formation from the pure elements is -0.025 eV/atom. Its crystal system is trigonal.

a = 7.2912 Å, b = 7.2912 Å, c = 7.2912 Å
α = 104.40°, β = 104.40°, γ = 104.40°
With the nearest neighbours (Å) after each atom.
Positions (direct):
Zn1 0.6220 0.6220 0.8715  4 Ag 2.69-2.83, 4 Zn 2.75-2.88
Zn2 0.1080 0.5000 0.8920  3 Zn 2.49-2.75, 4 Ag 2.60-2.73
Zn3 0.8920 0.5000 0.1080  3 Zn 2.49-2.75, 4 Ag 2.60-2.73
Zn4 0.5000 0.8920 0.1080  3 Zn 2.49-2.75, 4 Ag 2.60-2.73
Zn5 0.8715 0.6220 0.6220  4 Ag 2.69-2.83, 4 Zn 2.75-2.88
Zn6 0.5000 0.1080 0.8920  3 Zn 2.49-2.75, 4 Ag 2.60-2.73
Zn7 0.6220 0.8715 0.6220  4 Ag 2.69-2.83, 4 Zn 2.75-2.88
Zn8 0.1285 0.3780 0.3780  4 Ag 2.69-2.83, 4 Zn 2.75-2.88
Zn9 0.8920 0.1080 0.5000  3 Zn 2.49-2.75, 4 Ag 2.60-2.73
Zn10 0.1080 0.8920 0.5000  3 Zn 2.49-2.75, 4 Ag 2.60-2.73
Zn11 0.3780 0.1285 0.3780  4 Ag 2.69-2.83, 4 Zn 2.75-2.88
Zn12 0.3780 0.3780 0.1285  4 Ag 2.69-2.83, 4 Zn 2.75-2.88
Ag1 0.7078 0.2907 0.7078  8 Zn 2.60-2.83
Ag2 0.2922 0.7093 0.2922  8 Zn 2.60-2.83
Ag3 0.7093 0.2922 0.2922  8 Zn 2.60-2.83
Ag4 0.2907 0.7078 0.7078  8 Zn 2.60-2.83
Ag5 0.2922 0.2922 0.7093  8 Zn 2.60-2.83
Ag6 0.7078 0.7078 0.2907  8 Zn 2.60-2.83
Nd1 0.0000 0.0000 0.0000  6 Zn 3.12

The following is a DFT calculation (PBE) of a relaxed Nd2ZnAg3 crystal.

For the density of states at the Fermi level, the calculation gives 7.88 states/eV/cell. The space group is Fmmm, No. 69. Its energy of formation from the pure elements is -0.291 eV/atom. Its crystal system is orthorhombic.

a = 5.9337 Å, b = 5.9337 Å, c = 9.5665 Å
α = 113.84°, β = 113.84°, γ = 72.35°
With the nearest neighbours (Å) after each atom.
Positions (direct):
Ag1 0.8300 0.8300 0.6599  1 Zn 2.71, 2 Ag 2.83
Ag2 0.6587 0.6587 0.8300  1 Zn 2.70, 2 Ag 2.82-2.83
Ag3 0.3413 0.3413 0.1700  1 Zn 2.70, 2 Ag 2.82-2.83
Ag4 0.1700 0.1700 0.3401  1 Zn 2.71, 2 Ag 2.83
Ag5 0.8287 0.8287 0.1700  1 Zn 2.70, 2 Ag 2.82-2.83
Ag6 0.1713 0.1713 0.8300  1 Zn 2.70, 2 Ag 2.82-2.83
Nd1 0.7500 0.2500 0.5000  8 Ag 3.25, 4 Zn 3.27, 2 Nd 3.50
Nd2 0.2500 0.7500 0.5000  8 Ag 3.25, 4 Zn 3.27, 2 Nd 3.50
Nd3 0.7532 0.2468 0.0000  10 Ag 3.25-3.32, 2 Zn 3.28, 2 Nd 3.46-3.55
Nd4 0.2468 0.7532 0.0000  10 Ag 3.25-3.32, 2 Zn 3.28, 2 Nd 3.46-3.55
Zn1 0.3335 0.3335 0.6671  3 Ag 2.70-2.71
Zn2 0.6665 0.6665 0.3329  3 Ag 2.70-2.71

The following is a DFT calculation (PBE) of a relaxed Nd6ZnAg crystal.

For the density of states at the Fermi level, the calculation gives 11.76 states/eV/cell. The space group is I4/mmm, No. 139. Its energy of formation from the pure elements is -0.123 eV/atom. Its crystal system is tetragonal.

a = 9.6793 Å, b = 9.6793 Å, c = 9.6793 Å
α = 148.61°, β = 148.61°, γ = 44.99°
With the nearest neighbours (Å) after each atom.
Positions (direct):
Zn1 0.5000 0.5000 0.0000  8 Nd 3.22
Nd1 0.2510 0.2510 0.0000  12 Nd 3.67-3.70
Nd2 0.8950 0.3950 0.5000  2 Zn 3.22, 2 Ag 3.22
Nd3 0.1050 0.6050 0.5000  2 Zn 3.22, 2 Ag 3.22
Nd4 0.6050 0.1050 0.5000  2 Zn 3.22, 2 Ag 3.22
Nd5 0.3950 0.8950 0.5000  2 Zn 3.22, 2 Ag 3.22
Nd6 0.7490 0.7490 0.0000  12 Nd 3.67-3.70
Ag1 0.0000 0.0000 0.0000  8 Nd 3.22

The following is a DFT calculation (PBE) of a relaxed Nd12ZnAg6 crystal.

For the density of states at the Fermi level, the calculation gives 22.91 states/eV/cell. The space group is R-3, No. 148. Its energy of formation from the pure elements is -0.061 eV/atom. Its crystal system is trigonal.

a = 8.1270 Å, b = 8.1270 Å, c = 8.1270 Å
α = 88.49°, β = 88.49°, γ = 88.49°
With the nearest neighbours (Å) after each atom.
Positions (direct):
Ag1 0.2594 0.7348 0.8924  1 Zn 3.10, 7 Nd 3.15-3.44, 2 Ag 3.24
Ag2 0.1076 0.7406 0.2652  1 Zn 3.10, 7 Nd 3.15-3.44, 2 Ag 3.24
Ag3 0.7348 0.8924 0.2594  1 Zn 3.10, 7 Nd 3.15-3.44, 2 Ag 3.24
Ag4 0.7406 0.2652 0.1076  1 Zn 3.10, 7 Nd 3.15-3.44, 2 Ag 3.24
Ag5 0.8924 0.2594 0.7348  1 Zn 3.10, 7 Nd 3.15-3.44, 2 Ag 3.24
Ag6 0.2652 0.1076 0.7406  1 Zn 3.10, 7 Nd 3.15-3.44, 2 Ag 3.24
Nd1 0.5507 0.1944 0.4616  4 Ag 3.27-3.66, 7 Nd 3.33-3.66
Nd2 0.1422 0.3595 0.0079  4 Ag 3.15-3.44, 1 Zn 3.17, 4 Nd 3.21-3.48
Nd3 0.9921 0.8578 0.6405  4 Ag 3.15-3.44, 1 Zn 3.17, 4 Nd 3.21-3.48
Nd4 0.3595 0.0079 0.1422  4 Ag 3.15-3.44, 1 Zn 3.17, 4 Nd 3.21-3.48
Nd5 0.6405 0.9921 0.8578  4 Ag 3.15-3.44, 1 Zn 3.17, 4 Nd 3.21-3.48
Nd6 0.8056 0.5384 0.4493  4 Ag 3.27-3.66, 7 Nd 3.33-3.66
Nd7 0.4616 0.5507 0.1944  4 Ag 3.27-3.66, 7 Nd 3.33-3.66
Nd8 0.5384 0.4493 0.8056  4 Ag 3.27-3.66, 7 Nd 3.33-3.66
Nd9 0.1944 0.4616 0.5507  4 Ag 3.27-3.66, 7 Nd 3.33-3.66
Nd10 0.0079 0.1422 0.3595  4 Ag 3.15-3.44, 1 Zn 3.17, 4 Nd 3.21-3.48
Nd11 0.4493 0.8056 0.5384  4 Ag 3.27-3.66, 7 Nd 3.33-3.66
Nd12 0.8578 0.6405 0.9921  4 Ag 3.15-3.44, 1 Zn 3.17, 4 Nd 3.21-3.48
Zn1 0.0000 0.0000 0.0000  6 Ag 3.10, 6 Nd 3.17

The following is a DFT calculation (PBE) of a relaxed Nd2Zn3Ag4 crystal.

For the density of states at the Fermi level, the calculation gives 4.06 states/eV/cell. The space group is Fmmm, No. 69. Its energy of formation from the pure elements is -0.297 eV/atom. Its crystal system is orthorhombic.

a = 5.3583 Å, b = 5.4200 Å, c = 7.6669 Å
α = 80.05°, β = 69.55°, γ = 60.38°
With the nearest neighbours (Å) after each atom.
Positions (direct):
Ag1 0.9938 0.6721 0.3403  4 Ag 2.81-3.13, 3 Zn 2.89-2.90, 2 Nd 3.14
Ag2 0.6659 0.3279 0.3403  4 Ag 2.81-3.13, 3 Zn 2.89-2.90, 2 Nd 3.14
Ag3 0.0062 0.3279 0.6597  4 Ag 2.81-3.13, 3 Zn 2.89-2.90, 2 Nd 3.14
Ag4 0.3341 0.6721 0.6597  4 Ag 2.81-3.13, 3 Zn 2.89-2.90, 2 Nd 3.14
Zn1 0.0000 0.5000 0.0000  4 Zn 2.68-2.71, 4 Ag 2.90
Zn2 0.0000 0.0000 0.0000  4 Zn 2.71, 4 Ag 2.89
Zn3 0.5000 0.5000 0.0000  4 Zn 2.68-2.71, 4 Ag 2.90
Nd1 0.6315 0.0000 0.7370  8 Ag 3.14-3.24, 6 Zn 3.28-3.30
Nd2 0.3685 0.0000 0.2630  8 Ag 3.14-3.24, 6 Zn 3.28-3.30

The following is a DFT calculation (PBE) of a relaxed Nd2ZrAg crystal.

For the density of states at the Fermi level, the calculation gives 4.03 states/eV/cell. The space group is R-3m, No. 166. Its energy of formation from the pure elements is 0.312 eV/atom. Its crystal system is trigonal.

a = 3.2887 Å, b = 3.2887 Å, c = 11.8639 Å
α = 82.03°, β = 82.03°, γ = 60.00°
With the nearest neighbours (Å) after each atom.
Positions (direct):
Zr1 0.0000 0.0000 0.0000  2 Nd 3.22, 6 Zr 3.29
Nd1 0.0916 0.0916 0.7252  1 Zr 3.22, 3 Ag 3.25, 6 Nd 3.29
Nd2 0.9084 0.9084 0.2748  1 Zr 3.22, 3 Ag 3.25, 6 Nd 3.29
Ag1 0.5000 0.5000 0.5000  6 Nd 3.25, 6 Ag 3.29

The following is a DFT calculation (PBE) of a relaxed Nd2ZrAg crystal.

For the density of states at the Fermi level, the calculation gives 3.51 states/eV/cell. The space group is P4/mmm, No. 123. Its energy of formation from the pure elements is -0.043 eV/atom. Its crystal system is tetragonal.

a = 3.5221 Å, b = 3.5221 Å, c = 8.8768 Å
α = 90.00°, β = 90.00°, γ = 90.00°
With the nearest neighbours (Å) after each atom.
Positions (direct):
Zr1 0.5000 0.5000 0.5000  8 Nd 3.41, 4 Zr 3.52
Ag1 0.5000 0.5000 0.0000  8 Nd 3.27, 4 Ag 3.52
Nd1 0.0000 0.0000 0.7619  4 Ag 3.27, 4 Zr 3.41, 4 Nd 3.52
Nd2 0.0000 0.0000 0.2381  4 Ag 3.27, 4 Zr 3.41, 4 Nd 3.52

The following is a DFT calculation (PBE) of a relaxed NdZrAg crystal.

For the density of states at the Fermi level, the calculation gives 3.56 states/eV/cell. The space group is I4mm, No. 107. Its energy of formation from the pure elements is -0.029 eV/atom. Its crystal system is tetragonal.

a = 3.4560 Å, b = 3.4560 Å, c = 6.7771 Å
α = 104.77°, β = 104.77°, γ = 90.00°
With the nearest neighbours (Å) after each atom.
Positions (direct):
Zr1 0.3164 0.3164 0.6329  4 Ag 2.97
Ag1 0.6825 0.6825 0.3649  4 Zr 2.97
Nd1 0.0011 0.0011 0.0022  4 Ag 3.35, 4 Zr 3.38, 4 Nd 3.46

no.,electronic total energy (eV for the cell shown)
1,-37.6
2,-42.2
3,-33.7
4,-76.8
5,-27.4
6,-19.7
7,-21.1
8,-16.3